Below is a relaxed K2SrBr crystal, with properties calculated at the GGA-PBE level.

Calculated values
Space group   P4/mmm (123)
Energy   -2.120 eV/atom
Crystal system   tetragonal
Distance to the lowest polymorph of the same formula   0.18 eV/f.u.
E_form (uncorrected)   -2.931 eV/f.u.

Cell lengths 4.0925, 4.0925, 11.3759 Å; angles 90.00, 90.00, 90.00 degrees
Closest atoms and distances in Å follow each position.
Fractional positions:
K: 0.0000 0.0000 0.1726  4 Br 3.50
K: 0.0000 0.0000 0.8274  4 Br 3.50
Sr: 0.5000 0.5000 0.5000  4 Sr 4.09
Br: 0.5000 0.5000 0.0000  8 K 3.50